A plane-wave DFT calculation with GGA-PBEsol was carried out for an optimized crystal structure of NiRuRh2.

Computed properties:
Energy above the lowest structure with this stoichiometry: 0.17 kcal/mol of atoms
Crystal system: tetragonal
Calculated formation energy: 0.04 eV per atom
Space-group type: P4/mmm (123)

a = 2.6496 Å, b = 2.6496 Å, c = 7.2624 Å
α = 90.00°, β = 90.00°, γ = 90.00°
Closest atoms and distances in Å follow each position.
Positions (direct):
Ru1 0.5000 0.5000 0.0000  8 Rh 2.64, 4 Ru 2.65
Rh1 0.0000 0.0000 0.7442  4 Ni 2.58, 4 Ru 2.64, 4 Rh 2.65
Rh2 0.0000 0.0000 0.2558  4 Ni 2.58, 4 Ru 2.64, 4 Rh 2.65
Ni1 0.5000 0.5000 0.5000  8 Rh 2.58, 4 Ni 2.65

=====

A plane-wave DFT calculation with GGA-PBEsol was carried out for an optimized crystal structure of Ni2RhS4.

Computed properties:
Formation energy from raw total energies: -0.510 eV/atom
Crystal system: orthorhombic
Space-group type: Imma (74)

a = 6.6579 Å, b = 6.6783 Å, c = 6.6783 Å
α = 60.35°, β = 60.10°, γ = 60.10°
Closest atoms and distances in Å follow each position.
Positions (direct):
Ni1 0.8753 0.8747 0.3747  4 S 2.15-2.16
Ni2 0.1247 0.1253 0.6253  4 S 2.15-2.16
Ni3 0.5000 0.5000 0.0000  6 S 2.26-2.29
Ni4 0.0000 0.5000 0.0000  6 S 2.26-2.29
Rh1 0.5000 0.5000 0.5000  6 S 2.32-2.34
Rh2 0.5000 0.0000 0.0000  6 S 2.32-2.34
S1 0.7296 0.2609 0.7609  2 Ni 2.15-2.26, 2 Rh 2.32
S2 0.2523 0.7308 0.7645  3 Ni 2.16-2.29, 1 Rh 2.34
S3 0.2486 0.2609 0.7609  2 Ni 2.15-2.26, 2 Rh 2.32
S4 0.2523 0.2645 0.2308  3 Ni 2.16-2.29, 1 Rh 2.34
S5 0.7477 0.7355 0.7692  3 Ni 2.16-2.29, 1 Rh 2.34
S6 0.7477 0.2692 0.2355  3 Ni 2.16-2.29, 1 Rh 2.34
S7 0.7514 0.7391 0.2391  2 Ni 2.15-2.26, 2 Rh 2.32
S8 0.2704 0.7391 0.2391  2 Ni 2.15-2.26, 2 Rh 2.32

=====

A plane-wave DFT calculation with GGA-PBEsol was carried out for an optimized crystal structure of Ta2NiRhS.

Computed properties:
Formation energy from raw total energies: 1.364 eV/atom
Crystal system: tetragonal
Space-group type: P4/mmm (123)

a = 4.2255 Å, b = 4.7984 Å, c = 4.7984 Å
α = 90.00°, β = 90.00°, γ = 90.00°
Closest atoms and distances in Å follow each position.
Positions (direct):
Ni1 0.5000 0.5000 0.5000  8 Ta 3.20, 4 S 3.39
S1 0.5000 0.0000 0.0000  2 Rh 2.11
Rh1 0.0000 0.0000 0.0000  2 S 2.11
Ta1 0.0000 0.0000 0.5000  2 Rh 2.40
Ta2 0.0000 0.5000 0.0000  2 Rh 2.40

=====

A plane-wave DFT calculation with GGA-PBEsol was carried out for an optimized crystal structure of Ni6SbRh.

Computed properties:
Formation energy from raw total energies: -0.054 eV/atom
Crystal system: orthorhombic
Space-group type: Cmmm (65)

a = 6.2572 Å, b = 6.2572 Å, c = 10.2314 Å
α = 90.00°, β = 90.00°, γ = 109.52°
Closest atoms and distances in Å follow each position.
Positions (direct):
Ni1 0.2473 0.7527 0.7457  8 Ni 2.51-2.60, 2 Rh 2.51-2.53, 2 Sb 2.58-2.60
Ni2 0.8779 0.6303 0.8720  8 Ni 2.53-2.62, 1 Rh 2.54, 3 Sb 2.56-2.59
Ni3 0.1221 0.3697 0.8720  8 Ni 2.53-2.62, 1 Rh 2.54, 3 Sb 2.56-2.59
Ni4 0.7527 0.2473 0.7457  8 Ni 2.51-2.60, 2 Rh 2.51-2.53, 2 Sb 2.58-2.60
Ni5 0.3697 0.1221 0.8720  8 Ni 2.53-2.62, 1 Rh 2.54, 3 Sb 2.56-2.59
Ni6 0.6303 0.8779 0.8720  8 Ni 2.53-2.62, 1 Rh 2.54, 3 Sb 2.56-2.59
Ni7 0.5000 0.5000 0.5000  2 Sb 2.51, 2 Rh 2.53, 8 Ni 2.57
Ni8 0.1198 0.3728 0.6223  8 Ni 2.50-2.59, 3 Rh 2.53-2.54, 1 Sb 2.57
Ni9 0.3728 0.1198 0.6223  8 Ni 2.50-2.59, 3 Rh 2.53-2.54, 1 Sb 2.57
Ni10 0.2473 0.7527 0.2543  8 Ni 2.51-2.60, 2 Rh 2.51-2.53, 2 Sb 2.58-2.60
Ni11 0.8802 0.6272 0.3777  8 Ni 2.50-2.59, 3 Rh 2.53-2.54, 1 Sb 2.57
Ni12 0.1198 0.3728 0.3777  8 Ni 2.50-2.59, 3 Rh 2.53-2.54, 1 Sb 2.57
Ni13 0.7527 0.2473 0.2543  8 Ni 2.51-2.60, 2 Rh 2.51-2.53, 2 Sb 2.58-2.60
Ni14 0.3728 0.1198 0.3777  8 Ni 2.50-2.59, 3 Rh 2.53-2.54, 1 Sb 2.57
Ni15 0.6272 0.8802 0.3777  8 Ni 2.50-2.59, 3 Rh 2.53-2.54, 1 Sb 2.57
Ni16 0.5000 0.5000 0.0000  4 Sb 2.55-2.60, 8 Ni 2.58
Ni17 0.1221 0.3697 0.1280  8 Ni 2.53-2.62, 1 Rh 2.54, 3 Sb 2.56-2.59
Ni18 0.3697 0.1221 0.1280  8 Ni 2.53-2.62, 1 Rh 2.54, 3 Sb 2.56-2.59
Ni19 0.0000 0.0000 0.5000  4 Rh 2.50-2.58, 8 Ni 2.53
Ni20 0.6272 0.8802 0.6223  8 Ni 2.50-2.59, 3 Rh 2.53-2.54, 1 Sb 2.57
Ni21 0.8802 0.6272 0.6223  8 Ni 2.50-2.59, 3 Rh 2.53-2.54, 1 Sb 2.57
Ni22 0.0000 0.0000 0.0000  8 Ni 2.54, 2 Sb 2.56, 2 Rh 2.61
Ni23 0.6303 0.8779 0.1280  8 Ni 2.53-2.62, 1 Rh 2.54, 3 Sb 2.56-2.59
Ni24 0.8779 0.6303 0.1280  8 Ni 2.53-2.62, 1 Rh 2.54, 3 Sb 2.56-2.59
Rh1 0.2520 0.7480 0.5000  12 Ni 2.51-2.58
Rh2 0.7480 0.2520 0.5000  12 Ni 2.51-2.58
Rh3 0.0000 0.0000 0.7446  12 Ni 2.50-2.61
Rh4 0.0000 0.0000 0.2554  12 Ni 2.50-2.61
Sb1 0.2506 0.7494 0.0000  12 Ni 2.55-2.60
Sb2 0.7494 0.2506 0.0000  12 Ni 2.55-2.60
Sb3 0.5000 0.5000 0.7457  12 Ni 2.51-2.60
Sb4 0.5000 0.5000 0.2543  12 Ni 2.51-2.60

=====

A plane-wave DFT calculation with GGA-PBEsol was carried out for an optimized crystal structure of NiSbRh2.

Computed properties:
Formation energy from raw total energies: -0.057 eV/atom
Crystal system: cubic
Space-group type: F-43m (216)

a = 4.3275 Å, b = 4.3275 Å, c = 4.3275 Å
α = 60.00°, β = 60.00°, γ = 60.00°
Closest atoms and distances in Å follow each position.
Positions (direct):
Ni1 0.5000 0.5000 0.5000  4 Sb 2.65, 4 Rh 2.65
Rh1 0.0000 0.0000 0.0000  4 Rh 2.65, 4 Sb 2.65
Rh2 0.7500 0.7500 0.7500  4 Rh 2.65, 4 Ni 2.65
Sb1 0.2500 0.2500 0.2500  4 Rh 2.65, 4 Ni 2.65

=====

A plane-wave DFT calculation with GGA-PBEsol was carried out for an optimized crystal structure of NiSb3Rh.

Computed properties:
Formation energy from raw total energies: 0.559 eV/atom
Crystal system: cubic
Space-group type: Pm-3m (221)

a = 4.7892 Å, b = 4.7892 Å, c = 4.7892 Å
α = 90.00°, β = 90.00°, γ = 90.00°
Closest atoms and distances in Å follow each position.
Positions (direct):
Sb1 0.0000 0.5000 0.0000  2 Ni 2.39
Sb2 0.0000 0.0000 0.5000  2 Ni 2.39
Sb3 0.5000 0.0000 0.0000  2 Ni 2.39
Rh1 0.5000 0.5000 0.5000  12 Sb 3.39
Ni1 0.0000 0.0000 0.0000  6 Sb 2.39